LiErTm2 | Alexandria via LeMat-Bulk | PBE | optimized geometry; E_tot = -14.70 eV for the cell shown; calculated volume = 111.0 Å³/cell; symmetry = Fm-3m; DFT formation energy = 69 kJ/mol of formula units
1.0
-5.0290 -1.5326 -1.2078
-1.1417 -1.8588 -4.9335
-1.1278 -5.2258 -0.7191
Tm Li Er
2 1 1
direct
0.2500 0.2500 0.2500
0.7500 0.7500 0.7500
0.5000 0.5000 0.5000
0.0000 0.0000 0.0000